No. 1
Cs3SrPm2Se6 | PBE-GGA | optimized geometry

It has space group C2/m (No. 12), with a = 7.7049 Å, b = 13.3473 Å, c = 8.7825 Å, α = 90.00°, β = 107.02° and γ = 90.00°. The distinct sites, in fractional coordinates, are Cs at (0.0000, 0.0000, 0.0000), Cs at (0.0000, 0.3374, 0.0000), Sr at (0.0000, 0.5000, 0.5000), Pm at (0.0000, 0.1670, 0.5000), Se at (0.2138, 0.0000, 0.6905) and Se at (0.2393, 0.3250, 0.6924).

The value obtained for the formation energy from raw total energies is -154 kJ per mole of atoms. The value obtained for the final energy is -107.49 eV per cell. The density comes out at 4.81 Mg/m³. As for the crystal system: monoclinic.



No. 2
LiPuCuPd | PBE-GGA | optimized geometry

It has space group F-43m (No. 216), with a = 6.7156 Å, b = 6.7156 Å, c = 6.7156 Å, α = 90.00°, β = 90.00° and γ = 90.00°. The distinct sites, in fractional coordinates, are Li at (0.0000, 0.0000, 0.0000), Pu at (0.0000, 0.0000, 0.5000), Cu at (0.2500, 0.2500, 0.7500) and Pd at (0.2500, 0.2500, 0.2500).

The value obtained for the final energy is -103.11 eV per cell. The density comes out at 9.23 Mg/m³. As for the crystal system: cubic. As for the formation energy from the elements: -0.060 eV/atom.



No. 3
Cr4CuSb | PBE-GGA | optimized geometry

It has space group F-43m (No. 216), with a = 6.8796 Å, b = 6.8796 Å, c = 6.8796 Å, α = 90.00°, β = 90.00° and γ = 90.00°. The distinct sites, in fractional coordinates, are Cr at (0.1220, 0.1220, 0.1220), Cu at (0.2500, 0.2500, 0.7500) and Sb at (0.0000, 0.0000, 0.5000).

The value obtained for the formation energy from raw total energies is 41 kJ per mole of atoms. The value obtained for the final energy is -176.69 eV per cell. The density comes out at 8.02 Mg/m³. As for the crystal system: cubic.



No. 4
LaYBr2 | PBE-GGA | optimized geometry

It has space group Fm-3m (No. 225), with a = 7.4347 Å, b = 7.4347 Å, c = 7.4347 Å, α = 90.00°, β = 90.00° and γ = 90.00°. The distinct sites, in fractional coordinates, are La at (0.0000, 0.0000, 0.0000), Y at (0.0000, 0.0000, 0.5000) and Br at (0.2500, 0.2500, 0.2500).

The value obtained for the formation energy from raw total energies is -86 kJ per mole of atoms. The value obtained for the final energy is -73.24 eV per cell. The density comes out at 6.26 Mg/m³. As for the crystal system: cubic. The value obtained for the energy above the most stable polymorph in this dataset is 327 meV per atom.



No. 5
SrLi2Al | PBE-GGA | optimized geometry

It has space group P2_1/m (No. 11), with a = 5.2932 Å, b = 4.5902 Å, c = 9.1920 Å, α = 90.00°, β = 102.96° and γ = 90.00°. The distinct sites, in fractional coordinates, are Sr at (0.1798, 0.2500, 0.3444), Li at (0.0862, 0.2500, 0.9548), Li at (0.4065, 0.2500, 0.7592) and Al at (0.3796, 0.7500, 0.9359).

The value obtained for the final energy is -18.94 eV per cell. The density comes out at 1.96 Mg/m³. As for the crystal system: monoclinic. As for the formation energy from the elements: -0.054 eV/atom.



No. 6
K2Ga2Br | PBE-GGA | optimized geometry

It has space group I4/mmm (No. 139), with a = 3.9365 Å, b = 3.9365 Å, c = 20.0409 Å, α = 90.00°, β = 90.00° and γ = 90.00°. The distinct sites, in fractional coordinates, are K at (0.0000, 0.0000, 0.0984), Ga at (0.0000, 0.5000, 0.2500) and Br at (0.0000, 0.0000, 0.5000).

The value obtained for the formation energy from raw total energies is -63 kJ per mole of atoms. The value obtained for the final energy is -26.39 eV per cell. The density comes out at 3.18 Mg/m³. As for the crystal system: tetragonal. The value obtained for the energy above the most stable polymorph in this dataset is 0 meV per atom.